Record 1
A relaxed structure of CaCrBr2, computed with PBE.

Lattice parameters (Å, degrees): 7.5704 7.5704 7.5704 90.00 90.00 90.00
With the nearest neighbours (Å) after each atom.
Space group F-43m (No. 216)
Symmetry-distinct sites (fractional):
Ca 0.0000 0.0000 0.0000 x4  4 Cr 3.28, 4 Br 3.28
Cr 0.2500 0.2500 0.2500 x4  4 Br 3.28, 4 Ca 3.28
Br 0.0000 0.0000 0.5000 x4  4 Br 3.28, 4 Cr 3.28
Br 0.2500 0.2500 0.7500 x4  4 Br 3.28, 4 Ca 3.28

Summary:
energy relative to the lowest polymorph listed for this composition = 380.7 meV/atom
total magnetic moment = 23.907 Bohr magnetons per cell
ρ = 3.9 g/cm3
total DFT energy (no corrections) = -64.10 eV/cell
formation energy from raw total energies = -0.2636 eV per atom



Record 2
A relaxed structure of CaCr2Br, computed with PBE.

Lattice parameters (Å, degrees): 4.5209 4.5209 18.5877 90.00 90.00 90.00
With the nearest neighbours (Å) after each atom.
Space group I4_1/amd (No. 141, origin choice 2)
Symmetry-distinct sites (fractional):
Ca 0.0000 0.2500 0.3750 x4  4 Br 3.20, 8 Cr 3.43
Cr 0.0000 0.0000 0.0000 x8  2 Cr 2.26
Br 0.0000 0.2500 0.8750 x4  4 Cr 2.58

Summary:
energy relative to the lowest polymorph listed for this composition = 771.8 meV/atom
total magnetic moment = 19.683 Bohr magnetons per cell
ρ = 3.9 g/cm3
total DFT energy (no corrections) = -79.22 eV/cell
formation energy from raw total energies = 0.7794 eV per atom



Record 3
A relaxed structure of CaCr2Br, computed with PBE.

Lattice parameters (Å, degrees): 5.7929 10.4210 3.5572 90.00 90.00 90.00
With the nearest neighbours (Å) after each atom.
Space group Cmmm (No. 65)
Symmetry-distinct sites (fractional):
Ca 0.0000 0.0000 0.0000 x2  2 Br 2.90
Cr 0.2500 0.2500 0.5000 x4  2 Cr 2.90
Br 0.0000 0.5000 0.0000 x2  2 Ca 2.90

Summary:
energy relative to the lowest polymorph listed for this composition = 574.1 meV/atom
total magnetic moment = 19.536 Bohr magnetons per cell
ρ = 3.5 g/cm3
total DFT energy (no corrections) = -41.19 eV/cell
formation energy from raw total energies = 0.5817 eV per atom



Record 4
A relaxed structure of Ca2CrBr, computed with PBE.

Lattice parameters (Å, degrees): 11.9609 3.6913 5.1860 90.00 97.75 90.00
With the nearest neighbours (Å) after each atom.
Space group Cm (No. 8)
Symmetry-distinct sites (fractional):
Ca 0.0000 0.0000 0.0000 x2  3 Cr 3.15-3.40, 4 Br 3.22-3.28
Ca 0.2118 0.5000 0.5524 x2  3 Br 3.17-3.41, 4 Cr 3.21-3.28
Cr 0.2658 0.0000 0.0607 x2  1 Br 2.82, 1 Ca 3.15
Br 0.4448 0.0000 0.4756 x2  1 Cr 2.82

Summary:
energy relative to the lowest polymorph listed for this composition = 129.3 meV/atom
total magnetic moment = 7.782 Bohr magnetons per cell
ρ = 3.1 g/cm3
total DFT energy (no corrections) = -31.84 eV/cell
formation energy from raw total energies = -0.1552 eV per atom



- Among the records above, which one has the lowest total DFT energy (no corrections)?
  number 2



Please write out number 4 again, unchanged.
A relaxed structure of Ca2CrBr, computed with PBE.

Lattice parameters (Å, degrees): 11.9609 3.6913 5.1860 90.00 97.75 90.00
With the nearest neighbours (Å) after each atom.
Space group Cm (No. 8)
Symmetry-distinct sites (fractional):
Ca 0.0000 0.0000 0.0000 x2  3 Cr 3.15-3.40, 4 Br 3.22-3.28
Ca 0.2118 0.5000 0.5524 x2  3 Br 3.17-3.41, 4 Cr 3.21-3.28
Cr 0.2658 0.0000 0.0607 x2  1 Br 2.82, 1 Ca 3.15
Br 0.4448 0.0000 0.4756 x2  1 Cr 2.82

Summary:
energy relative to the lowest polymorph listed for this composition = 129.3 meV/atom
total magnetic moment = 7.782 Bohr magnetons per cell
ρ = 3.1 g/cm3
total DFT energy (no corrections) = -31.84 eV/cell
formation energy from raw total energies = -0.1552 eV per atom



- Number 3 is which compound?
  CaCr2Br